Computed, not measured: a relaxed ScIO3 crystal at the GGA-PBE level of DFT.

* E_tot: -4.883 eV per atom
* ΔE_f (raw): -0.33 eV per atom
* total magnetic moment: 0.2142 μB per atom

CIF file:
```
data_ScIO3
_symmetry_space_group_name_H-M 'P m -3 m'
_symmetry_Int_Tables_number 221
_symmetry_space_group_name_Hall '-P 4 2 3'
_cell_length_a 4.2304
_cell_length_b 4.2304
_cell_length_c 4.2304
_cell_angle_alpha 90.00
_cell_angle_beta 90.00
_cell_angle_gamma 90.00
loop_
_atom_site_label
_atom_site_type_symbol
_atom_site_fract_x
_atom_site_fract_y
_atom_site_fract_z
Sc1 Sc 0.0000 0.0000 0.0000
I1 I 0.5000 0.5000 0.5000
O1 O 0.0000 0.5000 0.5000
```

Computed, not measured: a relaxed BaAcCO5 crystal at the GGA-PBE level of DFT.

* E_tot: -7.039 eV per atom
* ΔE_f (raw): -2.03 eV per atom
* total magnetic moment: 0.0941 μB per atom

CIF file:
```
data_BaAcCO5
_symmetry_space_group_name_H-M 'C 1 2/c 1'
_symmetry_Int_Tables_number 15
_cell_length_a 7.0506
_cell_length_b 9.7261
_cell_length_c 8.2569
_cell_angle_alpha 90.00
_cell_angle_beta 107.58
_cell_angle_gamma 90.00
loop_
_symmetry_equiv_pos_as_xyz
'x,y,z'
'-x,-y,-z'
'-x,y,-z+1/2'
'x,-y,z+1/2'
'x+1/2,y+1/2,z'
'-x+1/2,-y+1/2,-z'
'-x+1/2,y+1/2,-z+1/2'
'x+1/2,-y+1/2,z+1/2'
loop_
_atom_site_label
_atom_site_type_symbol
_atom_site_fract_x
_atom_site_fract_y
_atom_site_fract_z
Ba1 Ba 0.0000 0.1486 0.2500
Ac1 Ac 0.0000 0.5000 0.0000
C1 C 0.0000 0.1859 0.7500
O1 O 0.0000 0.4104 0.2500
O2 O 0.1012 0.2710 0.6638
O3 O 0.1352 0.1027 0.8730
```